[1]
DFT (GGA-PBE) results for a relaxed structure of BaSbPd.

Unit cell a=7.0555 b=6.9007 c=8.0115 alpha=110.65 beta=90.00 gamma=90.00
With the nearest neighbours (Å) after each atom.
Positions (direct):
Pd  0.0934  0.9131  0.3314  3 Sb 2.62-2.71, 1 Pd 2.86
Pd  0.4066  0.4131  0.8314  3 Sb 2.62-2.71, 1 Pd 2.86
Pd  0.5934  0.5869  0.1686  3 Sb 2.62-2.71, 1 Pd 2.86
Pd  0.9066  0.0869  0.6686  3 Sb 2.62-2.71, 1 Pd 2.86
Sb  0.8315  0.7001  0.4370  3 Pd 2.62-2.71
Sb  0.6685  0.2001  0.9370  3 Pd 2.62-2.71
Sb  0.1685  0.2999  0.5630  3 Pd 2.62-2.71
Sb  0.3315  0.7999  0.0630  3 Pd 2.62-2.71
Ba  0.1416  0.3221  0.1218  1 Pd 3.21, 1 Sb 3.60
Ba  0.6416  0.1779  0.3782  1 Pd 3.21, 1 Sb 3.60
Ba  0.3584  0.8221  0.6218  1 Pd 3.21, 1 Sb 3.60
Ba  0.8584  0.6779  0.8782  1 Pd 3.21, 1 Sb 3.60

Calculated values
Theoretical density: 6.651 g cm⁻³
Symmetry: P2_1/c
Final energy: -55.4 eV per cell
Uncorrected formation energy: -83.8 kJ per mole of atoms

[2]
DFT (GGA-PBE) results for a relaxed structure of PuPaSbTe.

Unit cell a=4.3948 b=4.3948 c=6.1999 alpha=90.00 beta=90.00 gamma=90.00
With the nearest neighbours (Å) after each atom.
Positions (direct):
Pa  0.0000  0.0000  0.5000  2 Sb 3.10, 4 Te 3.11
Sb  0.0000  0.0000  0.0000  2 Pa 3.10, 4 Pu 3.11
Te  0.5000  0.5000  0.5000  2 Pu 3.10, 4 Pa 3.11
Pu  0.5000  0.5000  0.0000  2 Te 3.10, 4 Sb 3.11

Calculated values
Theoretical density: 10.045 g cm⁻³
Symmetry: P4/mmm
Excess energy over the best structure of this formula in the dataset: 0.016 eV per atom
Final energy: -33.8 eV per cell
Uncorrected formation energy: -65.0 kJ per mole of atoms

[3]
DFT (GGA-PBE) results for a relaxed structure of Ba5ErSe6.

Unit cell a=7.9434 b=7.9674 c=7.9561 alpha=59.95 beta=80.32 gamma=70.38
With the nearest neighbours (Å) after each atom.
Positions (direct):
Se  0.2303  0.9235  0.6959  1 Er 2.97, 4 Ba 3.25-3.28
Se  0.7697  0.0765  0.3041  1 Er 2.97, 4 Ba 3.25-3.28
Se  0.2333  0.2240  0.0000  1 Er 2.97, 4 Ba 3.27-3.28
Se  0.7697  0.3805  0.6959  1 Er 2.97, 4 Ba 3.25-3.28
Se  0.7667  0.7760  0.0000  1 Er 2.97, 4 Ba 3.27-3.28
Se  0.2303  0.6195  0.3041  1 Er 2.97, 4 Ba 3.25-3.28
Ba  0.5000  0.8289  0.3422  6 Se 3.25-3.48
Ba  0.0000  0.6656  0.6688  6 Se 3.27-3.28
Ba  0.0000  0.3344  0.3312  6 Se 3.27-3.28
Ba  0.5000  0.5000  0.0000  6 Se 3.25-3.53
Ba  0.5000  0.1711  0.6578  6 Se 3.25-3.48
Er  0.0000  0.0000  0.0000  6 Se 2.97

Calculated values
Theoretical density: 5.370 g cm⁻³
Symmetry: C2/m
Final energy: -58.6 eV per cell
Uncorrected formation energy: -189.1 kJ per mole of atoms